FeCo6Ni8 | PBE-GGA | relaxed

The total magnetization comes out at 1.186 μB/atom. Its space group is R-3. The energy comes out at -6.29 eV/atom.

Lattice parameters (Å, degrees): 6.4988 6.4988 6.1183 57.92 57.92 60.00
Last column: nearest neighbours and their distance in Å.
Fractional coordinates of all 15 atoms:
Ni  0.1394  0.4191  0.6115  3 Co 2.29-2.50, 4 Ni 2.33-2.50
Co  0.3693  0.0897  0.8828  1 Co 2.27, 5 Ni 2.29-2.53, 1 Fe 2.40
Ni  0.8299  0.1394  0.6115  3 Co 2.29-2.50, 4 Ni 2.33-2.50
Co  0.6582  0.3693  0.8828  1 Co 2.27, 5 Ni 2.29-2.53, 1 Fe 2.40
Ni  0.1701  0.8606  0.3885  3 Co 2.29-2.50, 4 Ni 2.33-2.50
Ni  0.7472  0.7472  0.7585  6 Co 2.43-2.53, 6 Ni 2.45-2.62
Co  0.9103  0.3418  0.1172  1 Co 2.27, 5 Ni 2.29-2.53, 1 Fe 2.40
Ni  0.8606  0.5809  0.3885  3 Co 2.29-2.50, 4 Ni 2.33-2.50
Co  0.3418  0.6307  0.1172  1 Co 2.27, 5 Ni 2.29-2.53, 1 Fe 2.40
Ni  0.4191  0.8299  0.6115  3 Co 2.29-2.50, 4 Ni 2.33-2.50
Ni  0.5809  0.1701  0.3885  3 Co 2.29-2.50, 4 Ni 2.33-2.50
Co  0.0897  0.6582  0.8828  1 Co 2.27, 5 Ni 2.29-2.53, 1 Fe 2.40
Fe  0.0000  0.0000  0.0000  6 Co 2.40, 6 Ni 2.68
Co  0.6307  0.9103  0.1172  1 Co 2.27, 5 Ni 2.29-2.53, 1 Fe 2.40
Ni  0.2528  0.2528  0.2415  6 Co 2.43-2.53, 6 Ni 2.45-2.62